Entry 1:
Entry from Alexandria: a relaxed Sr2LiH6Ru crystal (GGA-PBE).

Values from the calculation:
**Density of states at the Fermi level**: 3.7 states/eV per cell
**Space-group type**: P-3m1, No. 164
**Total energy**: -3.9489 eV per atom

abc: 4.9165 5.3538 5.3538
angles: 120.00 90.00 90.00
With the nearest neighbours (Å) after each atom.
Fractional coordinates of all 10 atoms:
1 Sr 0.2179 0.3333 0.6667  9 H 2.68-2.69
2 Sr 0.7821 0.6667 0.3333  9 H 2.68-2.69
3 Li 0.5000 0.0000 0.0000  6 H 2.01
4 H 0.7875 0.1542 0.3084  1 Ru 1.77
5 H 0.7875 0.1542 0.8458  1 Ru 1.77
6 H 0.7875 0.6916 0.8458  1 Ru 1.77
7 H 0.2125 0.8458 0.1542  1 Ru 1.77
8 H 0.2125 0.3084 0.1542  1 Ru 1.77
9 H 0.2125 0.8458 0.6916  1 Ru 1.77
10 Ru 0.0000 0.0000 0.0000  6 H 1.77

Entry 2:
Entry from Alexandria: a relaxed Li7Br3O2 crystal (GGA-PBE).

Values from the calculation:
**Density of states at the Fermi level**: 0.0 states/eV per cell
**Space-group type**: I4/mmm, No. 139
**Total energy**: -4.0203 eV per atom
**Formation energy without anion corrections**: -1.659 eV/atom

abc: 11.2638 11.2638 11.2638
angles: 159.66 159.66 28.92
With the nearest neighbours (Å) after each atom.
Fractional coordinates of all 12 atoms:
1 O 0.0918 0.0918 0.0000  6 Li 1.93-2.00
2 O 0.9082 0.9082 0.0000  6 Li 1.93-2.00
3 Br 0.3112 0.3112 0.0000  9 Li 2.82-2.89
4 Br 0.6888 0.6888 0.0000  9 Li 2.82-2.89
5 Br 0.5000 0.5000 0.0000  12 Li 2.81-2.84
6 Li 0.5928 0.0928 0.5000  2 O 1.99
7 Li 0.0928 0.5928 0.5000  2 O 1.99
8 Li 0.4072 0.9072 0.5000  2 O 1.99
9 Li 0.9072 0.4072 0.5000  2 O 1.99
10 Li 0.1803 0.1803 0.0000  1 O 1.93
11 Li 0.8197 0.8197 0.0000  1 O 1.93
12 Li 0.0000 0.0000 0.0000  2 O 2.00

Entry 3:
Entry from Alexandria: a relaxed NiBiSbTe2 crystal (GGA-PBE).

Values from the calculation:
**Density of states at the Fermi level**: 13.6 states/eV per cell
**Space-group type**: P4/mmm, No. 123
**Total energy**: -2.7302 eV per atom
**Offset from the most stable computed form**: 104.4 kJ/mol of atoms
**Formation energy without anion corrections**: 1.283 eV/atom

abc: 5.9275 5.9275 5.7917
angles: 90.00 90.00 90.00
With the nearest neighbours (Å) after each atom.
Fractional coordinates of all 5 atoms:
1 Sb 0.0000 0.0000 0.5000  2 Bi 2.90
2 Te 0.0000 0.5000 0.0000  2 Bi 2.96
3 Te 0.5000 0.0000 0.0000  2 Bi 2.96
4 Bi 0.0000 0.0000 0.0000  2 Sb 2.90, 4 Te 2.96
5 Ni 0.5000 0.5000 0.5000  8 Te 4.14, 4 Sb 4.19

Entry 4:
Entry from Alexandria: a relaxed Tm6SnRu2 crystal (GGA-PBE).

Values from the calculation:
**Density of states at the Fermi level**: 12.8 states/eV per cell
**Space-group type**: Immm, No. 71
**Total energy**: -5.9712 eV per atom

abc: 8.3807 8.3807 8.3807
angles: 103.29 112.03 113.27
With the nearest neighbours (Å) after each atom.
Fractional coordinates of all 18 atoms:
1 Tm 0.5287 0.7100 0.8187  3 Ru 2.92-3.00, 1 Sn 3.17
2 Tm 0.4713 0.2900 0.1813  3 Ru 2.92-3.00, 1 Sn 3.17
3 Tm 0.1086 0.2900 0.8187  3 Ru 2.92-3.00, 1 Sn 3.17
4 Tm 0.8914 0.7100 0.1813  3 Ru 2.92-3.00, 1 Sn 3.17
5 Tm 0.7920 0.7602 0.5521  2 Ru 2.73-3.04
6 Tm 0.2080 0.2398 0.4479  2 Ru 2.73-3.04
7 Tm 0.2080 0.7602 0.9682  2 Ru 2.73-3.04
8 Tm 0.7920 0.2398 0.0318  2 Ru 2.73-3.04
9 Tm 0.6881 0.3543 0.6661  3 Ru 2.72-2.94
10 Tm 0.3119 0.6457 0.3339  3 Ru 2.72-2.94
11 Tm 0.3119 0.9780 0.6661  3 Ru 2.72-2.94
12 Tm 0.6881 0.0220 0.3339  3 Ru 2.72-2.94
13 Sn 0.0000 0.5000 0.5000  12 Tm 3.33-3.56
14 Sn 0.0000 0.0000 0.0000  2 Ru 3.05, 8 Tm 3.17
15 Ru 0.5000 0.3672 0.8672  8 Tm 2.72-3.04, 1 Ru 2.76
16 Ru 0.5000 0.6328 0.1328  8 Tm 2.72-3.04, 1 Ru 2.76
17 Ru 0.6741 0.0000 0.6741  8 Tm 2.73-3.00, 1 Sn 3.05
18 Ru 0.3259 0.0000 0.3259  8 Tm 2.73-3.00, 1 Sn 3.05